Below is a geometry-optimized Li4Y3VO8 structure, with properties calculated at the GGA+U level.

Calculated values
Raw total energy = -7.306 eV per atom
SG = C2 (5)
Size of the total moment = 2.00 Bohr magnetons per cell

Cell and atoms, written as POSCAR:
```
Li4Y3VO8
1.0
5.869 0.009 -0.018
-2.589 5.267 -0.018
-0.096 -0.155 6.221
Li O Y V
4 8 3 1
Direct
0.975 0.025 0.000
0.021 0.455 0.246
0.489 0.511 0.500
0.545 0.979 0.754
0.762 0.750 0.746
0.221 0.268 0.730
0.732 0.779 0.270
0.250 0.238 0.254
0.790 0.210 0.500
0.733 0.267 0.000
0.207 0.793 0.500
0.279 0.721 0.000
0.486 0.004 0.258
0.996 0.514 0.742
0.502 0.498 0.000
0.998 0.002 0.500
```